# Tb3Pr2NdDy6 (PBE, optimized geometry)
data_Tb3Pr2NdDy6
_cell_length_a 6.2187
_cell_length_b 6.2187
_cell_length_c 11.8501
_cell_angle_alpha 95.00
_cell_angle_beta 95.00
_cell_angle_gamma 119.98
_symmetry_space_group_name_H-M 'P 1'
_symmetry_Int_Tables_number 1
_symmetry_space_group_name_Hall 'P 1'
loop_
_atom_site_label
_atom_site_type_symbol
_atom_site_fract_x
_atom_site_fract_y
_atom_site_fract_z
_atom_site_occupancy
Tb1 Tb 0.8333 0.1667 0.5000 1
Tb2 Tb 0.1667 0.8333 0.5000 1
Tb3 Tb 0.5000 0.5000 0.5000 1
Dy1 Dy 0.2481 0.2481 0.7462 1
Dy2 Dy 0.9149 0.5817 0.7463 1
Dy3 Dy 0.7519 0.7519 0.2538 1
Dy4 Dy 0.5817 0.9149 0.7463 1
Dy5 Dy 0.4183 0.0851 0.2537 1
Dy6 Dy 0.0851 0.4183 0.2537 1
Pr1 Pr 0.3334 0.6666 0.0000 1
Pr2 Pr 0.6666 0.3334 0.0000 1
Nd1 Nd 0.0000 0.0000 0.0000 1
# Energy of formation from the pure elements ... 0.0166 eV/atom
# Total DFT energy (no corrections) ... -55.63 eV/cell
# Symmetry ... No. 12

---

# TlAg4 (PBE, optimized geometry)
data_TlAg4
_cell_length_a 5.5210
_cell_length_b 5.5210
_cell_length_c 5.5210
_cell_angle_alpha 109.47
_cell_angle_beta 109.47
_cell_angle_gamma 109.47
_symmetry_space_group_name_H-M 'P 1'
_symmetry_Int_Tables_number 1
_symmetry_space_group_name_Hall 'P 1'
loop_
_atom_site_label
_atom_site_type_symbol
_atom_site_fract_x
_atom_site_fract_y
_atom_site_fract_z
_atom_site_occupancy
Tl1 Tl 0.0000 0.0000 0.0000 1
Ag1 Ag 0.0000 0.0000 0.5000 1
Ag2 Ag 0.0000 0.5000 0.0000 1
Ag3 Ag 0.5000 0.0000 0.0000 1
Ag4 Ag 0.5000 0.5000 0.5000 1
# Energy of formation from the pure elements ... 0.4874 eV/atom
# Total DFT energy (no corrections) ... -11.33 eV/cell
# Symmetry ... No. 229

---

# Li2Ca2Be (PBE, optimized geometry)
data_Li2Ca2Be
_cell_length_a 7.1725
_cell_length_b 7.1725
_cell_length_c 4.8781
_cell_angle_alpha 90.00
_cell_angle_beta 90.00
_cell_angle_gamma 90.00
_symmetry_space_group_name_H-M 'P 1'
_symmetry_Int_Tables_number 1
_symmetry_space_group_name_Hall 'P 1'
loop_
_atom_site_label
_atom_site_type_symbol
_atom_site_fract_x
_atom_site_fract_y
_atom_site_fract_z
_atom_site_occupancy
Be1 Be 0.5000 0.5000 0.0000 1
Be2 Be 0.0000 0.0000 0.0000 1
Ca1 Ca 0.3127 0.1873 0.5000 1
Ca2 Ca 0.8127 0.3127 0.5000 1
Ca3 Ca 0.1873 0.6873 0.5000 1
Ca4 Ca 0.6873 0.8127 0.5000 1
Li1 Li 0.1354 0.3646 0.0000 1
Li2 Li 0.3646 0.8646 0.0000 1
Li3 Li 0.6354 0.1354 0.0000 1
Li4 Li 0.8646 0.6354 0.0000 1
# Energy of formation from the pure elements ... 0.3019 eV/atom
# Total DFT energy (no corrections) ... -20.09 eV/cell
# Excess energy over the best structure of this formula in the dataset ... 0 meV/atom
# Symmetry ... No. 127

---

# RbBeIr2 (PBE, optimized geometry)
data_RbBeIr2
_cell_length_a 4.8560
_cell_length_b 4.8560
_cell_length_c 8.7238
_cell_angle_alpha 73.84
_cell_angle_beta 73.84
_cell_angle_gamma 90.00
_symmetry_space_group_name_H-M 'P 1'
_symmetry_Int_Tables_number 1
_symmetry_space_group_name_Hall 'P 1'
loop_
_atom_site_label
_atom_site_type_symbol
_atom_site_fract_x
_atom_site_fract_y
_atom_site_fract_z
_atom_site_occupancy
Rb1 Rb 0.7500 0.2500 0.5000 1
Rb2 Rb 0.0000 0.0000 0.0000 1
Ir1 Ir 0.8750 0.6543 0.7500 1
Ir2 Ir 0.3750 0.5957 0.7500 1
Ir3 Ir 0.4043 0.1250 0.2500 1
Ir4 Ir 0.3457 0.6250 0.2500 1
Be1 Be 0.5000 0.5000 0.0000 1
Be2 Be 0.2500 0.7500 0.5000 1
# Energy of formation from the pure elements ... 0.6829 eV/atom
# Total DFT energy (no corrections) ... -39.37 eV/cell
# Symmetry ... No. 122

---

# FePd4W (PBE, optimized geometry)
data_FePd4W
_cell_length_a 2.7778
_cell_length_b 2.7778
_cell_length_c 11.6248
_cell_angle_alpha 90.00
_cell_angle_beta 90.00
_cell_angle_gamma 90.00
_symmetry_space_group_name_H-M 'P 1'
_symmetry_Int_Tables_number 1
_symmetry_space_group_name_Hall 'P 1'
loop_
_atom_site_label
_atom_site_type_symbol
_atom_site_fract_x
_atom_site_fract_y
_atom_site_fract_z
_atom_site_occupancy
W1 W 0.0000 0.0000 0.0000 1
Pd1 Pd 0.5000 0.5000 0.8332 1
Pd2 Pd 0.5000 0.5000 0.1668 1
Pd3 Pd 0.0000 0.0000 0.6529 1
Pd4 Pd 0.0000 0.0000 0.3471 1
Fe1 Fe 0.5000 0.5000 0.5000 1
# Energy of formation from the pure elements ... -0.0740 eV/atom
# Total DFT energy (no corrections) ... -42.63 eV/cell
# Symmetry ... No. 123

---

# Dy5In2Ga2 (PBE, optimized geometry)
data_Dy5In2Ga2
_cell_length_a 7.6781
_cell_length_b 7.7948
_cell_length_c 8.9424
_cell_angle_alpha 115.84
_cell_angle_beta 90.00
_cell_angle_gamma 90.00
_symmetry_space_group_name_H-M 'P 1'
_symmetry_Int_Tables_number 1
_symmetry_space_group_name_Hall 'P 1'
loop_
_atom_site_label
_atom_site_type_symbol
_atom_site_fract_x
_atom_site_fract_y
_atom_site_fract_z
_atom_site_occupancy
Ga1 Ga 0.8813 0.3828 0.0000 1
Ga2 Ga 0.6187 0.8828 0.0000 1
Ga3 Ga 0.1187 0.6172 0.0000 1
Ga4 Ga 0.3813 0.1172 0.0000 1
In1 In 0.0000 0.7786 0.5571 1
In2 In 0.5000 0.2786 0.5571 1
In3 In 0.0000 0.2214 0.4429 1
In4 In 0.5000 0.7214 0.4429 1
Dy1 Dy 0.1805 0.1828 0.7415 1
Dy2 Dy 0.8195 0.5587 0.7415 1
Dy3 Dy 0.5000 0.5000 0.0000 1
Dy4 Dy 0.8195 0.8172 0.2585 1
Dy5 Dy 0.6805 0.3172 0.2585 1
Dy6 Dy 0.3195 0.6828 0.7415 1
Dy7 Dy 0.0000 0.0000 0.0000 1
Dy8 Dy 0.6805 0.0587 0.7415 1
Dy9 Dy 0.1805 0.4413 0.2585 1
Dy10 Dy 0.3195 0.9413 0.2585 1
# Energy of formation from the pure elements ... -0.4699 eV/atom
# Total DFT energy (no corrections) ... -77.54 eV/cell
# Symmetry ... No. 64

---

# Pu2MnPN5 (PBE, optimized geometry)
data_Pu2MnPN5
_cell_length_a 3.0758
_cell_length_b 6.9282
_cell_length_c 10.1591
_cell_angle_alpha 90.00
_cell_angle_beta 90.00
_cell_angle_gamma 102.83
_symmetry_space_group_name_H-M 'P 1'
_symmetry_Int_Tables_number 1
_symmetry_space_group_name_Hall 'P 1'
loop_
_atom_site_label
_atom_site_type_symbol
_atom_site_fract_x
_atom_site_fract_y
_atom_site_fract_z
_atom_site_occupancy
P1 P 0.5577 0.1155 0.9271 1
P2 P 0.4423 0.8845 0.4271 1
N1 N 0.6762 0.3524 0.8874 1
N2 N 0.5070 0.0139 0.2944 1
N3 N 0.2885 0.5770 0.6656 1
N4 N 0.3458 0.6915 0.0067 1
N5 N 0.3238 0.6476 0.3874 1
N6 N 0.9544 0.9089 0.5174 1
N7 N 0.4930 0.9861 0.7944 1
N8 N 0.6542 0.3085 0.5067 1
N9 N 0.0456 0.0911 0.0174 1
N10 N 0.7115 0.4230 0.1656 1
Pu1 Pu 0.8501 0.7002 0.8204 1
Pu2 Pu 0.8833 0.7667 0.1712 1
Pu3 Pu 0.1499 0.2998 0.3204 1
Pu4 Pu 0.1167 0.2333 0.6712 1
Mn1 Mn 0.7919 0.5838 0.5337 1
Mn2 Mn 0.2081 0.4162 0.0337 1
# ΔE_f (raw) ... -0.6902 eV/atom
# Total DFT energy (no corrections) ... -182.16 eV/cell
# Symmetry ... No. 36

---

# TbPd8Pt2 (PBE, optimized geometry)
data_TbPd8Pt2
_cell_length_a 4.8857
_cell_length_b 7.9426
_cell_length_c 7.9426
_cell_angle_alpha 124.87
_cell_angle_beta 108.01
_cell_angle_gamma 108.01
_symmetry_space_group_name_H-M 'P 1'
_symmetry_Int_Tables_number 1
_symmetry_space_group_name_Hall 'P 1'
loop_
_atom_site_label
_atom_site_type_symbol
_atom_site_fract_x
_atom_site_fract_y
_atom_site_fract_z
_atom_site_occupancy
Pt1 Pt 0.0000 0.3252 0.6748 1
Pt2 Pt 0.0000 0.6748 0.3252 1
Pd1 Pd 0.2625 0.5120 0.5120 1
Pd2 Pd 0.5000 0.8079 0.1921 1
Pd3 Pd 0.2380 0.3848 0.0966 1
Pd4 Pd 0.2380 0.0966 0.3848 1
Pd5 Pd 0.7375 0.4880 0.4880 1
Pd6 Pd 0.5000 0.1921 0.8079 1
Pd7 Pd 0.7620 0.9034 0.6152 1
Pd8 Pd 0.7620 0.6152 0.9034 1
Tb1 Tb 0.5000 0.0000 0.0000 1
# Energy of formation from the pure elements ... -0.1963 eV/atom
# Total DFT energy (no corrections) ... -60.41 eV/cell
# Symmetry ... No. 12